Record 1
This record from Alexandria describes Ca5PuP4 after structural relaxation. The functional is PBE.

Density of states at the Fermi level: 1.13 states/eV/atom
Formation enthalpy at 0 K: -1.005 eV/atom
Calculated total energy: -5.603 eV/atom
Total magnetic moment: 6.00 μB/f.u.

a = 18.4294 Å, b = 4.2836 Å, c = 7.7415 Å
α = 90.00°, β = 114.80°, γ = 90.00°
With the nearest neighbours (Å) after each atom.
Space group C2/m (No. 12)
One atom of each set of equivalent atoms:
Ca 0.0000 0.0000 0.0000 (multiplicity 2)  4 P 2.90
Ca 0.1663 0.5000 0.4347 (multiplicity 4)  4 P 2.78-2.98
Ca 0.1662 0.5000 0.8983 (multiplicity 4)  4 P 2.78-2.98
Pu 0.0000 0.0000 0.5000 (multiplicity 2)  4 P 2.87
P 0.0001 0.5000 0.2526 (multiplicity 4)  4 Ca 2.78-2.90, 2 Pu 2.87
P 0.2056 0.0000 0.7058 (multiplicity 4)  6 Ca 2.87-2.98

---

Record 2
This record from Alexandria describes CdCo4Ru after structural relaxation. The functional is PBE.

Density of states at the Fermi level: 1.16 states/eV/atom
Formation enthalpy at 0 K: 0.213 eV/atom
Calculated total energy: -6.222 eV/atom
Total magnetic moment: 7.96 μB/f.u.

a = 6.7784 Å, b = 6.7784 Å, c = 6.7784 Å
α = 90.00°, β = 90.00°, γ = 90.00°
With the nearest neighbours (Å) after each atom.
Space group F-43m (No. 216)
One atom of each set of equivalent atoms:
Cd 0.0000 0.0000 0.0000 (multiplicity 4)  12 Co 2.81, 4 Ru 2.94
Co 0.1248 0.1248 0.6248 (multiplicity 16)  6 Co 2.39-2.40
Ru 0.2500 0.2500 0.2500 (multiplicity 4)  12 Co 2.81, 4 Cd 2.94

---

Record 3
This record from Alexandria describes ScTl2Hg after structural relaxation. The functional is PBE.

Density of states at the Fermi level: 0.82 states/eV/atom
Formation enthalpy at 0 K: -0.076 eV/atom
Calculated total energy: -2.918 eV/atom
Total magnetic moment: 0.00 μB/f.u.

a = 3.5121 Å, b = 3.5121 Å, c = 29.8599 Å
α = 90.00°, β = 90.00°, γ = 120.00°
With the nearest neighbours (Å) after each atom.
Space group R3m (No. 160, hexagonal axes)
One atom of each set of equivalent atoms:
Sc 0.0000 0.0000 0.0000 (multiplicity 3)  3 Hg 2.97, 3 Tl 3.15
Tl 0.0000 0.0000 0.2528 (multiplicity 3)  3 Sc 3.15, 9 Tl 3.43-3.51
Tl 0.0000 0.0000 0.4934 (multiplicity 3)  3 Hg 3.31, 9 Tl 3.43-3.51
Hg 0.0000 0.0000 0.7391 (multiplicity 3)  3 Sc 2.97, 3 Tl 3.31

---

Record 4
This record from Alexandria describes ErTiGaRh after structural relaxation. The functional is PBE.

Density of states at the Fermi level: 0.89 states/eV/atom
Formation enthalpy at 0 K: -0.500 eV/atom
Calculated total energy: -6.209 eV/atom
Total magnetic moment: 0.37 μB/f.u.

a = 6.6354 Å, b = 6.6354 Å, c = 6.6354 Å
α = 90.00°, β = 90.00°, γ = 90.00°
With the nearest neighbours (Å) after each atom.
Space group F-43m (No. 216)
One atom of each set of equivalent atoms:
Er 0.0000 0.0000 0.0000 (multiplicity 4)  4 Rh 2.87, 4 Ga 2.87
Ti 0.0000 0.0000 0.5000 (multiplicity 4)  4 Ga 2.87, 4 Rh 2.87
Ga 0.2500 0.2500 0.7500 (multiplicity 4)  4 Er 2.87, 4 Ti 2.87
Rh 0.2500 0.2500 0.2500 (multiplicity 4)  4 Ti 2.87, 4 Er 2.87

---

Record 5
This record from Alexandria describes ZnIr5Ru4 after structural relaxation. The functional is PBE.

Density of states at the Fermi level: 0.91 states/eV/atom
Formation enthalpy at 0 K: -0.047 eV/atom
Calculated total energy: -8.315 eV/atom
Total magnetic moment: 0.00 μB/f.u.

a = 2.7288 Å, b = 2.7288 Å, c = 19.1371 Å
α = 90.00°, β = 90.00°, γ = 90.00°
With the nearest neighbours (Å) after each atom.
Space group P4/mmm (No. 123)
One atom of each set of equivalent atoms:
Zn 0.0000 0.0000 0.0000 (multiplicity 1)  4 Zn 2.73, 8 Ir 2.75
Ir 0.5000 0.5000 0.1022 (multiplicity 2)  4 Ru 2.66, 4 Ir 2.73, 4 Zn 2.75
Ir 0.5000 0.5000 0.2999 (multiplicity 2)  8 Ru 2.72-2.75, 4 Ir 2.73
Ir 0.5000 0.5000 0.5000 (multiplicity 1)  8 Ru 2.72, 4 Ir 2.73
Ru 0.0000 0.0000 0.1977 (multiplicity 2)  8 Ir 2.66-2.75, 4 Ru 2.73
Ru 0.0000 0.0000 0.3998 (multiplicity 2)  8 Ir 2.72, 4 Ru 2.73

---

Record 6
This record from Alexandria describes Te2HIr after structural relaxation. The functional is PBE.

Density of states at the Fermi level: 0.02 states/eV/atom
Energy relative to the lowest polymorph listed for this composition: 411.8 meV per atom
Calculated total energy: -4.249 eV/atom
Total magnetic moment: 0.00 μB/f.u.

a = 6.5349 Å, b = 6.5349 Å, c = 6.5349 Å
α = 90.00°, β = 90.00°, γ = 90.00°
With the nearest neighbours (Å) after each atom.
Space group Fm-3m (No. 225)
One atom of each set of equivalent atoms:
Te 0.2500 0.2500 0.2500 (multiplicity 8)  4 Ir 2.83, 4 H 2.83
H 0.0000 0.0000 0.0000 (multiplicity 4)  8 Te 2.83
Ir 0.0000 0.0000 0.5000 (multiplicity 4)  8 Te 2.83

---

Record 7
This record from Alexandria describes AlAsCl2 after structural relaxation. The functional is PBE.

Density of states at the Fermi level: 0.56 states/eV/atom
Energy relative to the lowest polymorph listed for this composition: 593.0 meV per atom
Calculated total energy: -3.048 eV/atom
Formation energy without anion corrections: -26.5 meV per atom
Total magnetic moment: 0.00 μB/f.u.

a = 3.0486 Å, b = 3.0486 Å, c = 10.2884 Å
α = 90.00°, β = 90.00°, γ = 90.00°
With the nearest neighbours (Å) after each atom.
Space group P4/mmm (No. 123)
One atom of each set of equivalent atoms:
Al 0.0000 0.0000 0.0000 (multiplicity 1)  8 Cl 2.65
As 0.0000 0.0000 0.5000 (multiplicity 1)  4 As 3.05
Cl 0.5000 0.5000 0.1501 (multiplicity 2)  4 Al 2.65

---

Record 8
This record from Alexandria describes TbPr2Bi3 after structural relaxation. The functional is PBE.

Density of states at the Fermi level: 0.21 states/eV/atom
Formation enthalpy at 0 K: -0.927 eV/atom
Calculated total energy: -5.233 eV/atom
Total magnetic moment: 0.00 μB/f.u.

a = 4.5950 Å, b = 6.4970 Å, c = 13.7719 Å
α = 90.00°, β = 90.00°, γ = 90.00°
With the nearest neighbours (Å) after each atom.
Space group Immm (No. 71)
One atom of each set of equivalent atoms:
Tb 0.0000 0.0000 0.0000 (multiplicity 2)  6 Bi 3.20-3.25
Pr 0.0000 0.0000 0.3319 (multiplicity 4)  6 Bi 3.25-3.28
Bi 0.0000 0.5000 0.0000 (multiplicity 2)  2 Tb 3.25, 4 Pr 3.26
Bi 0.0000 0.5000 0.3386 (multiplicity 4)  2 Tb 3.20, 4 Pr 3.25-3.28